(1)
Mn2BeNi: relaxed, PBE. Values from VASP.

Output
E ... -27.8 eV per cell
Density ... 7267 kg/m³
SG ... No. 12
ΔE_f ... 0.0 eV per formula unit

The structure in Quantum ESPRESSO input format:
```
&SYSTEM
  ibrav = 0, nat = 4, ntyp = 3
/
ATOMIC_SPECIES
Mn 54.94 Mn.upf
Be 9.01 Be.upf
Ni 58.69 Ni.upf
ATOMIC_POSITIONS crystal
Mn 0.250 0.250 0.244
Mn 0.750 0.750 0.756
Be 0.500 0.500 0.000
Ni 0.000 0.000 0.500
CELL_PARAMETERS angstrom
4.149 -1.224 0.000
4.149 1.224 0.000
-0.753 0.000 3.996
```



(2)
MnBe2Ni: relaxed, PBE. Values from VASP.

Output
E ... -23.5 eV per cell
Density ... 5821 kg/m³
SG ... No. 123
ΔE_f ... -1.1 eV per formula unit

The structure in Quantum ESPRESSO input format:
```
&SYSTEM
  ibrav = 0, nat = 4, ntyp = 3
/
ATOMIC_SPECIES
Mn 54.94 Mn.upf
Be 9.01 Be.upf
Ni 58.69 Ni.upf
ATOMIC_POSITIONS crystal
Mn 0.000 0.000 0.000
Be 0.500 0.500 0.267
Be 0.500 0.500 0.733
Ni 0.000 0.000 0.500
CELL_PARAMETERS angstrom
2.636 0.000 0.000
0.000 2.636 0.000
0.000 0.000 5.405
```



(3)
MnBeNi2: relaxed, PBE. Values from VASP.

Output
E ... -25.1 eV per cell
Density ... 6985 kg/m³
SG ... No. 123
ΔE_f ... -0.7 eV per formula unit

The structure in Quantum ESPRESSO input format:
```
&SYSTEM
  ibrav = 0, nat = 4, ntyp = 3
/
ATOMIC_SPECIES
Mn 54.94 Mn.upf
Be 9.01 Be.upf
Ni 58.69 Ni.upf
ATOMIC_POSITIONS crystal
Mn 0.000 0.000 0.000
Be 0.500 0.500 0.000
Ni 0.000 0.500 0.500
Ni 0.500 0.000 0.500
CELL_PARAMETERS angstrom
3.640 0.000 0.000
0.000 3.640 0.000
0.000 0.000 3.254
```



(4)
Mn2BeNi: relaxed, PBE. Values from VASP.

Output
E ... -27.9 eV per cell
Density ... 7271 kg/m³
SG ... No. 6
ΔE_f ... -0.1 eV per formula unit

The structure in Quantum ESPRESSO input format:
```
&SYSTEM
  ibrav = 0, nat = 4, ntyp = 3
/
ATOMIC_SPECIES
Mn 54.94 Mn.upf
Be 9.01 Be.upf
Ni 58.69 Ni.upf
ATOMIC_POSITIONS crystal
Mn 0.000 0.000 0.000
Mn 0.193 0.500 0.763
Be 0.537 0.000 0.515
Ni 0.605 0.500 0.283
CELL_PARAMETERS angstrom
2.383 0.000 0.000
0.000 3.802 0.000
-0.622 0.000 4.475
```



Which formula does entry 2 have?
MnBe2Ni